# MgI2F2

MgI2F2 after structural relaxation (GGA-PBE, Alexandria).

As for the energy relative to the elements, uncorrected: -8.1 eV per formula unit. Its density of states at the Fermi level is 1.08 states/eV/f.u. The relative energy among the computed polymorphs is 0.00 eV per formula unit. The electronic total energy comes out at -3.3024 eV per atom.

The space group is P4/mbm (No. 127) and the conventional cell measures 5.922, 5.922 and 8.014 Å, with angles of 90.00, 90.00 and 90.00 degrees. Symmetry generates all atoms from Mg at (0.000, 0.000, 0.000), I at (0.189, 0.311, 0.500) and F at (0.249, 0.749, 0.000).